Computed, not measured: a relaxed structure of Na4Cu2SnGe at the PBE level of DFT.

The calculation puts the electronic total energy at -2.614 eV/atom.

The structure belongs to space group P-4m2 (No. 115); the cell edges are 4.7896, 4.7896 and 6.8364 Å and the angles 90.00°, 90.00° and 90.00°. The distinct sites, in fractional coordinates, are Na at (0.0000, 0.0000, 0.0000), Na at (0.0000, 0.5000, 0.2345), Na at (0.5000, 0.5000, 0.5000), Cu at (0.0000, 0.5000, 0.7582), Sn at (0.0000, 0.0000, 0.5000) and Ge at (0.5000, 0.5000, 0.0000).

=====

Computed, not measured: a relaxed structure of NaCu3GeTe4 at the PBE level of DFT.

The energy above the most stable polymorph in this dataset comes out at 113 meV per atom.

The structure belongs to space group P-43m (No. 215); the cell edges are 6.4029, 6.4029 and 6.4029 Å and the angles 90.00°, 90.00° and 90.00°. The distinct sites, in fractional coordinates, are Na at (0.0000, 0.0000, 0.0000), Cu at (0.0000, 0.5000, 0.5000), Ge at (0.5000, 0.5000, 0.5000) and Te at (0.2636, 0.2636, 0.2636).

=====

Computed, not measured: a relaxed structure of NaCu3GeTe4 at the PBE level of DFT.

The energy above the most stable polymorph in this dataset comes out at 0 meV per atom.

The structure belongs to space group P2_1/m (No. 11); the cell edges are 6.0386, 7.9345 and 10.5880 Å and the angles 90.00°, 105.80° and 90.00°. The distinct sites, in fractional coordinates, are Na at (0.2434, 0.2500, 0.0517), Cu at (0.2099, 0.0405, 0.5110), Cu at (0.3742, 0.2500, 0.7054), Ge at (0.1889, 0.7500, 0.2857), Te at (0.0931, 0.5130, 0.7239), Te at (0.3092, 0.7500, 0.0616) and Te at (0.4908, 0.7500, 0.5358).

=====

Computed, not measured: a relaxed structure of NbCuGe at the PBE level of DFT.

The calculation puts the electronic total energy at -6.445 eV/atom.

The structure belongs to space group P4/nmm (No. 129, origin choice 2); the cell edges are 3.6296, 3.6296 and 6.8394 Å and the angles 90.00°, 90.00° and 90.00°. The distinct sites, in fractional coordinates, are Nb at (0.2500, 0.2500, 0.1343), Cu at (0.2500, 0.7500, 0.5000) and Ge at (0.2500, 0.2500, 0.7453).

=====

Computed, not measured: a relaxed structure of Nb3CuGe5 at the PBE level of DFT.

The calculation puts the electronic total energy at -6.102 eV/atom.

The structure belongs to space group P6/mmm (No. 191); the cell edges are 5.5076, 5.5076 and 6.8110 Å and the angles 90.00°, 90.00° and 120.00°. The distinct sites, in fractional coordinates, are Nb at (0.0000, 0.5000, 0.0000), Cu at (0.0000, 0.0000, 0.5000), Ge at (0.0000, 0.0000, 0.0000) and Ge at (0.3333, 0.6667, 0.3227).

=====

Computed, not measured: a relaxed structure of NbCuNiGe at the PBE level of DFT.

The energy above the most stable polymorph in this dataset comes out at 63 meV per atom.

The structure belongs to space group F-43m (No. 216); the cell edges are 6.0605, 6.0605 and 6.0605 Å and the angles 90.00°, 90.00° and 90.00°. The distinct sites, in fractional coordinates, are Nb at (0.0000, 0.0000, 0.0000), Cu at (0.2500, 0.2500, 0.7500), Ni at (0.2500, 0.2500, 0.2500) and Ge at (0.0000, 0.0000, 0.5000).